YLuRh2: relaxed, PBE.

Summary:
magnetization	0.000	μB/f.u.
formation energy	-21.21	kcal/mol of atoms
uncorrected energy	-7.34	eV/atom

a b c (Å): 4.8009 4.8009 4.8009
angles (deg): 60.00 60.00 60.00
Element x y z (fractional)
Y1 0.0000 0.0000 0.0000
Rh1 0.2500 0.2500 0.2500
Lu1 0.5000 0.5000 0.5000
Rh2 0.7500 0.7500 0.7500

YLuRh2: relaxed, PBE.

Summary:
magnetization	0.000	μB/f.u.
formation energy	-21.25	kcal/mol of atoms
uncorrected energy	-7.34	eV/atom

a b c (Å): 3.3354 3.3354 7.0287
angles (deg): 90.00 90.00 90.00
Element x y z (fractional)
Rh1 0.0000 0.0000 0.7594
Rh2 0.0000 0.0000 0.2406
Lu1 0.5000 0.5000 0.0000
Y1 0.5000 0.5000 0.5000

YLu2Rh: relaxed, PBE.

Summary:
magnetization	0.002	μB/f.u.
formation energy	-10.95	kcal/mol of atoms
uncorrected energy	-6.19	eV/atom

a b c (Å): 3.4470 3.4470 8.4476
angles (deg): 90.00 90.00 90.00
Element x y z (fractional)
Rh1 0.5000 0.5000 0.0000
Y1 0.5000 0.5000 0.5000
Lu1 0.0000 0.0000 0.8125
Lu2 0.0000 0.0000 0.1875

YbLuRh2: relaxed, PBE.

Summary:
magnetization	0.319	μB/f.u.
formation energy	-18.35	kcal/mol of atoms
uncorrected energy	-5.98	eV/atom

a b c (Å): 4.7652 4.7652 4.7652
angles (deg): 60.00 60.00 60.00
Element x y z (fractional)
Rh1 0.7500 0.7500 0.7500
Lu1 0.5000 0.5000 0.5000
Yb1 0.0000 0.0000 0.0000
Rh2 0.2500 0.2500 0.2500

LuZn4Rh: relaxed, PBE.

Summary:
magnetization	0.000	μB/f.u.
formation energy	-11.02	kcal/mol of atoms
uncorrected energy	-3.31	eV/atom

a b c (Å): 5.0796 5.0796 5.0796
angles (deg): 60.00 60.00 60.00
Element x y z (fractional)
Zn1 0.6260 0.6260 0.6260
Zn2 0.1220 0.6260 0.6260
Rh1 0.0000 0.0000 0.0000
Zn3 0.6260 0.1220 0.6260
Zn4 0.6260 0.6260 0.1220
Lu1 0.2500 0.2500 0.2500

Lu2ZnRh: relaxed, PBE.

Summary:
magnetization	0.000	μB/f.u.
formation energy	-15.86	kcal/mol of atoms
uncorrected energy	-5.10	eV/atom

a b c (Å): 3.4070 3.4070 6.9591
angles (deg): 90.00 90.00 90.00
Element x y z (fractional)
Lu1 0.0000 0.0000 0.7668
Zn1 0.5000 0.5000 0.5000
Lu2 0.0000 0.0000 0.2332
Rh1 0.5000 0.5000 0.0000